1.
{
  "formula": "Ce3Ga5Se12",
  "functional": "GGA-PBE",
  "state": "relaxed",
  "magnetic_moment_mub_per_atom": 0.11,
  "e_form_raw_mev_per_atom": -1005,
  "lattice_angstrom": [[-6.588, 11.279, 4.766], [2.525, -8.698, 10.550], [12.025, 3.788, -5.863]],
  "species": ["Ce", "Ce", "Ce", "Ce", "Ce", "Ce", "Ce", "Ce", "Ce", "Ce", "Ce", "Ce", "Ga", "Ga", "Ga", "Ga", "Ga", "Ga", "Ga", "Ga", "Ga", "Ga", "Ga", "Ga", "Ga", "Ga", "Ga", "Ga", "Ga", "Ga", "Ga", "Ga", "Se", "Se", "Se", "Se", "Se", "Se", "Se", "Se", "Se", "Se", "Se", "Se", "Se", "Se", "Se", "Se", "Se", "Se", "Se", "Se", "Se", "Se", "Se", "Se", "Se", "Se", "Se", "Se", "Se", "Se", "Se", "Se", "Se", "Se", "Se", "Se", "Se", "Se", "Se", "Se", "Se", "Se", "Se", "Se", "Se", "Se", "Se", "Se"],
  "frac_coords": [[0.750, 0.375, 0.125], [0.875, 0.750, 0.125], [0.375, 0.750, 0.625], [0.250, 0.125, 0.375], [0.875, 0.125, 0.250], [0.375, 0.625, 0.250], [0.625, 0.375, 0.750], [0.125, 0.875, 0.750], [0.750, 0.875, 0.625], [0.625, 0.250, 0.375], [0.125, 0.250, 0.875], [0.250, 0.625, 0.875], [0.125, 0.375, 0.250], [0.000, 0.500, 0.000], [0.000, 0.000, 0.000], [0.375, 0.250, 0.125], [0.500, 0.000, 0.500], [0.500, 0.500, 0.000], [0.125, 0.750, 0.375], [0.750, 0.125, 0.875], [0.750, 0.625, 0.375], [0.375, 0.125, 0.750], [0.625, 0.875, 0.250], [0.500, 0.500, 0.500], [0.500, 0.000, 0.000], [0.000, 0.000, 0.500], [0.250, 0.375, 0.625], [0.250, 0.875, 0.125], [0.000, 0.500, 0.500], [0.875, 0.250, 0.625], [0.625, 0.750, 0.875], [0.875, 0.625, 0.750], [0.712, 0.124, 0.034], [0.323, 0.534, 0.410], [0.966, 0.376, 0.288], [0.534, 0.212, 0.124], [0.587, 0.712, 0.677], [0.966, 0.590, 0.177], [0.323, 0.788, 0.413], [0.090, 0.913, 0.124], [0.590, 0.966, 0.677], [0.712, 0.587, 0.177], [0.788, 0.466, 0.376], [0.823, 0.910, 0.034], [0.124, 0.712, 0.534], [0.376, 0.410, 0.087], [0.087, 0.910, 0.376], [0.413, 0.124, 0.590], [0.087, 0.177, 0.212], [0.466, 0.677, 0.090], [0.823, 0.913, 0.288], [0.124, 0.413, 0.090], [0.376, 0.966, 0.788], [0.590, 0.624, 0.413], [0.910, 0.823, 0.534], [0.788, 0.323, 0.913], [0.410, 0.376, 0.587], [0.090, 0.177, 0.466], [0.212, 0.677, 0.087], [0.177, 0.087, 0.712], [0.624, 0.034, 0.212], [0.876, 0.587, 0.910], [0.534, 0.323, 0.910], [0.587, 0.876, 0.410], [0.913, 0.823, 0.788], [0.913, 0.090, 0.624], [0.876, 0.288, 0.466], [0.177, 0.090, 0.966], [0.624, 0.590, 0.913], [0.410, 0.034, 0.323], [0.288, 0.413, 0.823], [0.212, 0.534, 0.624], [0.910, 0.087, 0.876], [0.677, 0.212, 0.587], [0.466, 0.788, 0.876], [0.034, 0.410, 0.823], [0.413, 0.288, 0.323], [0.034, 0.624, 0.712], [0.677, 0.466, 0.590], [0.288, 0.876, 0.966]]
}

2.
{
  "formula": "Ce2Ga2Se7",
  "functional": "GGA-PBE",
  "state": "relaxed",
  "magnetic_moment_mub_per_atom": 0.02,
  "e_form_raw_mev_per_atom": -949,
  "lattice_angstrom": [[6.514, -0.197, -0.226], [-0.669, 7.218, -0.161], [-0.669, -1.120, 7.133]],
  "species": ["Ce", "Ce", "Ga", "Ga", "Se", "Se", "Se", "Se", "Se", "Se", "Se"],
  "frac_coords": [[0.000, 0.294, 0.706], [0.000, 0.706, 0.294], [0.413, 0.236, 0.236], [0.587, 0.764, 0.764], [0.763, 0.923, 0.548], [0.237, 0.452, 0.077], [0.237, 0.077, 0.452], [0.763, 0.548, 0.923], [0.500, 0.000, 0.000], [0.248, 0.596, 0.596], [0.752, 0.404, 0.404]]
}

3.
{
  "formula": "Ce4GaSe3",
  "functional": "GGA-PBE",
  "state": "relaxed",
  "magnetic_moment_mub_per_atom": 0.42,
  "e_form_raw_mev_per_atom": -1466,
  "lattice_angstrom": [[-1.650, -5.687, 0.722], [4.069, -0.633, 4.316], [-5.258, 4.850, 1.547]],
  "species": ["Se", "Se", "Se", "Ga", "Ce", "Ce", "Ce", "Ce"],
  "frac_coords": [[0.500, 0.500, 0.000], [0.750, 0.250, 0.500], [0.250, 0.750, 0.500], [0.000, 0.000, 0.000], [0.000, 0.500, 0.000], [0.500, 0.000, 0.000], [0.252, 0.252, 0.505], [0.748, 0.748, 0.495]]
}

4.
{
  "formula": "Ce3Tl3GaSe8",
  "functional": "GGA-PBE",
  "state": "relaxed",
  "magnetic_moment_mub_per_atom": 0.04,
  "e_form_raw_mev_per_atom": -1124,
  "lattice_angstrom": [[-7.547, 1.190, -3.557], [0.527, -2.429, 8.053], [2.285, 8.662, -1.945]],
  "species": ["Ce", "Ce", "Ce", "Tl", "Tl", "Tl", "Ga", "Se", "Se", "Se", "Se", "Se", "Se", "Se", "Se"],
  "frac_coords": [[0.500, 0.000, 0.500], [0.500, 0.500, 0.500], [0.000, 0.500, 0.500], [0.000, 0.000, 0.000], [0.000, 0.500, 0.000], [0.500, 0.500, 0.000], [0.000, 0.000, 0.500], [0.263, 0.527, 0.290], [0.737, 0.473, 0.710], [0.777, 0.554, 0.306], [0.223, 0.446, 0.694], [0.778, 0.029, 0.306], [0.222, 0.971, 0.694], [0.251, 0.029, 0.306], [0.749, 0.971, 0.694]]
}

5.
{
  "formula": "CeTlGaSe4",
  "functional": "GGA-PBE",
  "state": "relaxed",
  "magnetic_moment_mub_per_atom": 0.02,
  "e_form_raw_mev_per_atom": -976,
  "lattice_angstrom": [[-6.129, -2.554, 1.591], [-0.004, -3.582, -5.765], [6.328, -5.569, 3.456]],
  "species": ["Ce", "Ce", "Tl", "Tl", "Ga", "Ga", "Se", "Se", "Se", "Se", "Se", "Se", "Se", "Se"],
  "frac_coords": [[0.764, 0.750, 0.443], [0.236, 0.250, 0.557], [0.751, 0.750, 0.941], [0.249, 0.250, 0.059], [0.230, 0.750, 0.325], [0.770, 0.250, 0.675], [0.018, 0.516, 0.714], [0.982, 0.016, 0.286], [0.982, 0.484, 0.286], [0.018, 0.984, 0.714], [0.434, 0.750, 0.154], [0.566, 0.250, 0.846], [0.444, 0.750, 0.592], [0.556, 0.250, 0.408]]
}

6.
{
  "formula": "CeGaSi",
  "functional": "GGA-PBE",
  "state": "relaxed",
  "magnetic_moment_mub_per_atom": 0.31,
  "e_form_raw_mev_per_atom": -629,
  "lattice_angstrom": [[4.188, 0.000, 0.000], [0.000, 4.188, 0.000], [-2.094, -2.094, 7.181]],
  "species": ["Si", "Si", "Ga", "Ga", "Ce", "Ce"],
  "frac_coords": [[0.416, 0.416, 0.832], [0.166, 0.666, 0.332], [0.583, 0.583, 0.165], [0.333, 0.833, 0.665], [0.000, 0.000, 0.999], [0.750, 0.250, 0.499]]
}

7.
{
  "formula": "CeGa2Si",
  "functional": "GGA-PBE",
  "state": "relaxed",
  "magnetic_moment_mub_per_atom": 0.07,
  "e_form_raw_mev_per_atom": -289,
  "relative_energy_kj_per_mol_atoms": 16.6,
  "lattice_angstrom": [[4.336, 0.000, 0.000], [2.168, 3.755, 0.000], [2.168, 1.252, 5.022]],
  "species": ["Si", "Ga", "Ga", "Ce"],
  "frac_coords": [[0.500, 0.500, 0.500], [0.783, 0.783, 0.651], [0.217, 0.217, 0.349], [0.000, 0.000, 0.000]]
}

8.
{
  "formula": "Ce6GaSi2",
  "functional": "GGA-PBE",
  "state": "relaxed",
  "magnetic_moment_mub_per_atom": 0.52,
  "e_form_raw_mev_per_atom": -370,
  "relative_energy_kj_per_mol_atoms": 5.8,
  "lattice_angstrom": [[7.913, -0.024, -2.792], [-4.241, 6.832, -2.400], [0.002, 0.024, 8.392]],
  "species": ["Ce", "Ce", "Ce", "Ce", "Ce", "Ce", "Ce", "Ce", "Ce", "Ce", "Ce", "Ce", "Ga", "Ga", "Si", "Si", "Si", "Si"],
  "frac_coords": [[0.539, 0.730, 0.808], [0.461, 0.270, 0.192], [0.078, 0.270, 0.808], [0.922, 0.730, 0.192], [0.792, 0.744, 0.535], [0.208, 0.256, 0.465], [0.208, 0.744, 0.952], [0.792, 0.256, 0.048], [0.726, 0.409, 0.684], [0.274, 0.591, 0.316], [0.274, 0.958, 0.684], [0.726, 0.042, 0.316], [0.000, 0.500, 0.500], [0.000, 0.000, 0.000], [0.500, 0.383, 0.883], [0.500, 0.617, 0.117], [0.626, 0.000, 0.626], [0.374, 0.000, 0.374]]
}